[1]
This record from OQMD describes an optimized crystal structure of Nd2Sm2I2N2Cl3. The functional is GGA-PBE.

Geometry as extended XYZ:
```
11
Lattice="9.612 -1.872 0.000 9.612 1.872 0.000 -1.638 0.000 7.945" Properties=species:S:1:pos:R:3 pbc="T T T"
Cl 9.612 0.000 0.000
Cl 16.107 0.000 1.233
Cl 1.480 0.000 6.712
I 2.838 0.000 2.259
I 14.749 0.000 5.686
N 8.122 0.000 3.816
N 9.465 0.000 4.129
Nd -0.473 0.000 2.361
Nd 18.060 0.000 5.584
Sm 5.938 0.000 3.289
Sm 11.649 0.000 4.657
```

Properties
**Magnetization**: 0.0 μB/f.u.
**E_tot**: -60.63 eV for the cell shown
**Calculated volume**: 286.0 Å³/f.u.

***

[2]
This record from OQMD describes an optimized crystal structure of LuNbGe2. The functional is GGA-PBE.

Geometry as extended XYZ:
```
4
Lattice="-2.290 -3.626 -2.090 -4.685 0.308 -0.846 -1.592 0.447 -4.475" Properties=species:S:1:pos:R:3 pbc="T T T"
Ge 0.000 0.000 0.000
Ge -2.142 -0.718 -1.853
Lu -4.283 -1.435 -3.706
Nb -6.425 -2.153 -5.559
```

Properties
**Magnetization**: 0.1 μB/f.u.
**E_tot**: -23.00 eV for the cell shown
**Calculated volume**: 76.8 Å³/f.u.

***

[3]
This record from OQMD describes an optimized crystal structure of CuBIr. The functional is GGA-PBE.

Geometry as extended XYZ:
```
3
Lattice="0.971 -0.020 3.700 -0.147 3.237 2.033 -2.687 0.452 2.685" Properties=species:S:1:pos:R:3 pbc="T T T"
B -0.466 0.917 2.105
Cu -1.397 2.752 6.314
Ir 0.000 0.000 0.000
```

Properties
**Energy relative to the lowest polymorph listed for this composition**: 0.604 eV/atom
**Magnetization**: 0.0 μB/f.u.
**E_tot**: -17.33 eV for the cell shown
**Calculated volume**: 39.6 Å³/f.u.

***

[4]
This record from OQMD describes an optimized crystal structure of NdP. The functional is GGA-PBE.

Geometry as extended XYZ:
```
2
Lattice="0.000 3.251 3.251 3.251 0.000 3.251 3.251 3.251 0.000" Properties=species:S:1:pos:R:3 pbc="T T T"
Nd 0.000 0.000 0.000
P 1.626 1.626 1.626
```

Properties
**Magnetization**: 0.0 μB/f.u.
**E_tot**: -12.24 eV for the cell shown
**Calculated volume**: 68.7 Å³/f.u.